## Sb2PAu (PBE)

Data for a relaxed Sb2PAu crystal.

Geometry as CIF:
```
data_Sb2PAu
_chemical_formula_sum 'Sb2 P1 Au1'
_cell_length_a 5.5828
_cell_length_b 5.5828
_cell_length_c 3.0218
_cell_angle_alpha 90.00
_cell_angle_beta 90.00
_cell_angle_gamma 90.00
_symmetry_space_group_name_H-M 'P 1'
_symmetry_Int_Tables_number 1
loop_
_symmetry_equiv_pos_as_xyz
'x,y,z'
loop_
_atom_site_label
_atom_site_fract_x
_atom_site_fract_y
_atom_site_fract_z
Sb1 0.0000 0.5000 0.0000
Sb2 0.5000 0.0000 0.0000
P1 0.5000 0.5000 0.0000
Au1 0.0000 0.0000 0.0000
```

=====

## MgBeAs2Br (PBE)

Data for a relaxed MgBeAs2Br crystal.

Geometry as CIF:
```
data_MgBeAs2Br
_chemical_formula_sum 'Mg1 Be1 As2 Br1'
_cell_length_a 4.2731
_cell_length_b 4.2731
_cell_length_c 6.3754
_cell_angle_alpha 90.00
_cell_angle_beta 90.00
_cell_angle_gamma 90.00
_symmetry_space_group_name_H-M 'P 1'
_symmetry_Int_Tables_number 1
loop_
_symmetry_equiv_pos_as_xyz
'x,y,z'
loop_
_atom_site_label
_atom_site_fract_x
_atom_site_fract_y
_atom_site_fract_z
Be1 0.0000 0.0000 0.0000
As1 0.0000 0.5000 0.0000
As2 0.5000 0.0000 0.0000
Mg1 0.5000 0.5000 0.5000
Br1 0.0000 0.0000 0.5000
```

Properties
For the energy above the most stable polymorph in this dataset, the calculation gives 0 meV per atom.

=====

## Tm6ZnTe3 (PBE)

Data for a relaxed Tm6ZnTe3 crystal.

Geometry as CIF:
```
data_Tm6ZnTe3
_chemical_formula_sum 'Tm12 Zn2 Te6'
_cell_length_a 3.9257
_cell_length_b 11.8239
_cell_length_c 12.5741
_cell_angle_alpha 103.98
_cell_angle_beta 90.00
_cell_angle_gamma 90.00
_symmetry_space_group_name_H-M 'P 1'
_symmetry_Int_Tables_number 1
loop_
_symmetry_equiv_pos_as_xyz
'x,y,z'
loop_
_atom_site_label
_atom_site_fract_x
_atom_site_fract_y
_atom_site_fract_z
Tm1 0.7500 0.4856 0.6509
Tm2 0.2500 0.5144 0.3491
Tm3 0.7500 0.9471 0.1350
Tm4 0.2500 0.0529 0.8650
Tm5 0.7500 0.4194 0.1171
Tm6 0.2500 0.5806 0.8829
Tm7 0.7500 0.7598 0.3043
Tm8 0.2500 0.2402 0.6957
Tm9 0.7500 0.1078 0.4593
Tm10 0.2500 0.8922 0.5407
Tm11 0.7500 0.7898 0.7571
Tm12 0.2500 0.2102 0.2429
Zn1 0.7500 0.0410 0.6857
Zn2 0.2500 0.9590 0.3143
Te1 0.7500 0.3808 0.8623
Te2 0.2500 0.6192 0.1377
Te3 0.7500 0.6707 0.5136
Te4 0.2500 0.3293 0.4864
Te5 0.7500 0.1598 0.0467
Te6 0.2500 0.8402 0.9533
```

=====

Record order is preserved below.
Volume: 23.5 23.3 28.3 Å³ per atom
Record order is preserved below.
E: -4.11 -3.10 -4.46 eV per atom
Record order is preserved below.
E_form (uncorrected): 0.48 0.81 -7.09 eV per formula unit